# 1
8
Lattice="-2.435 -2.302 -1.559 1.868 -2.890 1.349 -5.225 -2.353 7.255" Properties=species:S:1:pos:R:3 comment="PBE LiCu2Se, optimized geometry" m_tot_mub_per_atom=0.000 space_group=I-42d e_tot_ev_per_fu=-14.1 vol_a3_per_atom=15.1 formation_energy_uncorrected_ev_per_atom=-0.137 pbc="T T T"
Li -1.820 -3.920 4.250
Cu -0.414 -2.655 2.481
Se 0.000 0.000 0.000
Cu -4.393 -6.343 5.273
Cu -2.624 -2.416 0.989
Se -3.972 -3.626 2.795
Cu -4.154 -3.677 5.346
Li -0.284 -2.596 -0.105

=====

# 2
4
Lattice="-1.301 -4.299 -1.243 2.506 -3.758 -1.146 0.300 -2.623 2.821" Properties=species:S:1:pos:R:3 comment="PBE LiCu2Se, optimized geometry" m_tot_mub_per_atom=0.000 space_group=Cm e_tot_ev_per_fu=-14.1 vol_a3_per_atom=14.1 formation_energy_uncorrected_ev_per_atom=-0.129 pbc="T T T"
Cu 0.302 -2.636 2.817
Se 1.126 -7.995 0.328
Li 0.752 -5.337 0.221
Cu 0.377 -2.673 0.103

=====

# 3
7
Lattice="3.931 0.000 -1.118 -0.476 5.905 -1.673 -0.440 0.124 5.921" Properties=species:S:1:pos:R:3 comment="PBE Li2Cu2Se3, optimized geometry" m_tot_mub_per_atom=0.000 space_group=C2/m e_tot_ev_per_fu=-26.1 vol_a3_per_atom=19.3 formation_energy_uncorrected_ev_per_atom=-0.523 pbc="T T T"
Li 1.914 5.671 -0.740
Cu 0.463 1.836 1.627
Se 0.213 4.099 0.747
Se 0.000 0.000 0.000
Li 1.101 0.357 3.869
Cu 2.552 4.193 1.502
Se 2.802 1.929 2.382

=====

# 4
4
Lattice="-0.598 3.282 -2.036 -3.687 0.123 1.291 1.106 2.043 2.967" Properties=species:S:1:pos:R:3 comment="PBE Li2CuSe, optimized geometry" m_tot_mub_per_atom=0.000 space_group=Cmmm e_tot_ev_per_fu=-13.5 vol_a3_per_atom=14.4 formation_energy_uncorrected_ev_per_atom=-0.516 pbc="T T T"
Li -2.142 1.702 -0.372
Li 0.000 0.000 0.000
Se 0.254 2.663 0.466
Cu -1.290 1.083 2.129

=====

# 5
4
Lattice="-0.689 -4.924 2.741 -1.464 1.061 -5.382 1.456 -1.771 -1.443" Properties=species:S:1:pos:R:3 comment="PBE LiCu2Se, optimized geometry" m_tot_mub_per_atom=0.000 space_group=C2/m e_tot_ev_per_fu=-14.0 vol_a3_per_atom=14.9 formation_energy_uncorrected_ev_per_atom=-0.100 pbc="T T T"
Li 0.383 -3.347 0.649
Cu -1.077 -1.932 -1.320
Cu 0.000 0.000 0.000
Se -0.004 -0.355 -3.413

=====

# 6
4
Lattice="3.370 0.000 0.000 0.000 3.511 0.000 0.000 0.000 5.301" Properties=species:S:1:pos:R:3 comment="PBE Li2CuSe, optimized geometry" m_tot_mub_per_atom=0.000 space_group=Pmm2 e_tot_ev_per_fu=-12.7 vol_a3_per_atom=15.7 formation_energy_uncorrected_ev_per_atom=-0.312 pbc="T T T"
Cu 1.685 1.755 3.971
Li 0.000 0.000 5.200
Se 0.000 0.000 2.631
Li 1.685 1.755 1.450

=====

# 7
4
Lattice="-4.735 -6.533 -4.043 -2.202 -7.236 -4.924 -3.103 -8.112 -2.452" Properties=species:S:1:pos:R:3 comment="PBE LiCu2Se, optimized geometry" m_tot_mub_per_atom=0.000 space_group=R-3m e_tot_ev_per_fu=-12.7 vol_a3_per_atom=14.8 formation_energy_uncorrected_ev_per_atom=0.222 pbc="T T T"
Se -7.530 -16.411 -8.565
Cu -9.986 -21.764 -11.358
Cu -5.074 -11.058 -5.771
Li -2.510 -5.470 -2.855

=====

# 8
4
Lattice="-0.904 -6.724 -2.236 1.762 2.256 4.561 -2.067 0.041 2.004" Properties=species:S:1:pos:R:3 comment="PBE LiCuSe2, optimized geometry" m_tot_mub_per_atom=0.000 space_group=C2/m e_tot_ev_per_fu=-14.3 vol_a3_per_atom=18.2 formation_energy_uncorrected_ev_per_atom=-0.336 pbc="T T T"
Li 0.429 -2.234 1.162
Se 0.000 0.000 0.000
Se -1.486 -3.342 -0.116
Cu -0.153 1.148 3.282

=====

Calculated DOS at the Fermi energy in order - 0.195; 0.462; 0.413; 0.147; 0.236; 0.362; 0.633; 0.294 states/eV/atom